(1)
# In3GaF (SCAN, PBEsol geometry)
# E_tot	-24.10	eV/atom
# total magnetic moment	0.0	μB per formula unit
# D(E_F)	0.616	states/eV/atom
# E_form (uncorrected)	-0.47	eV/f.u.
data_In3GaF
_symmetry_space_group_name_H-M 'P m -3 m'
_symmetry_Int_Tables_number 221
_symmetry_space_group_name_Hall '-P 4 2 3'
_cell_length_a 5.264
_cell_length_b 5.264
_cell_length_c 5.264
_cell_angle_alpha 90.00
_cell_angle_beta 90.00
_cell_angle_gamma 90.00
loop_
_atom_site_label
_atom_site_fract_x
_atom_site_fract_y
_atom_site_fract_z
_atom_site_occupancy
In1 0.000 0.000 0.500 1
Ga1 0.000 0.000 0.000 1
F1 0.500 0.500 0.500 1

(2)
# CsIn2BiO (SCAN, PBEsol geometry)
# E_tot	-37.34	eV/atom
# total magnetic moment	0.0	μB per formula unit
# D(E_F)	0.440	states/eV/atom
# E_form (uncorrected)	2.71	eV/f.u.
data_CsIn2BiO
_symmetry_space_group_name_H-M 'P 4/m m m'
_symmetry_Int_Tables_number 123
_symmetry_space_group_name_Hall '-P 4 2'
_cell_length_a 6.364
_cell_length_b 6.364
_cell_length_c 4.288
_cell_angle_alpha 90.00
_cell_angle_beta 90.00
_cell_angle_gamma 90.00
loop_
_atom_site_label
_atom_site_fract_x
_atom_site_fract_y
_atom_site_fract_z
_atom_site_occupancy
Cs1 0.000 0.000 0.000 1
In1 0.000 0.500 0.000 1
Bi1 0.500 0.500 0.500 1
O1 0.000 0.000 0.500 1

(3)
# CsZrSc3 (SCAN, PBEsol geometry)
# E_tot	-20.82	eV/atom
# total magnetic moment	1.4	μB per formula unit
# D(E_F)	0.894	states/eV/atom
# E_form	1.42	eV per atom
data_CsZrSc3
_symmetry_space_group_name_H-M 'P m -3 m'
_symmetry_Int_Tables_number 221
_symmetry_space_group_name_Hall '-P 4 2 3'
_cell_length_a 5.136
_cell_length_b 5.136
_cell_length_c 5.136
_cell_angle_alpha 90.00
_cell_angle_beta 90.00
_cell_angle_gamma 90.00
loop_
_atom_site_label
_atom_site_fract_x
_atom_site_fract_y
_atom_site_fract_z
_atom_site_occupancy
Cs1 0.000 0.000 0.000 1
Zr1 0.500 0.500 0.500 1
Sc1 0.000 0.000 0.500 1

(4)
# Li2Cr3O6 (SCAN, PBEsol geometry)
# E_tot	-11.25	eV/atom
# total magnetic moment	8.0	μB per formula unit
# D(E_F)	0.405	states/eV/atom
# E_form (uncorrected)	-26.42	eV/f.u.
data_Li2Cr3O6
_symmetry_space_group_name_H-M 'F d d d'
_symmetry_Int_Tables_number 70
_cell_length_a 5.481
_cell_length_b 8.913
_cell_length_c 16.393
_cell_angle_alpha 90.00
_cell_angle_beta 90.00
_cell_angle_gamma 90.00
loop_
_symmetry_equiv_pos_as_xyz
'x,y,z'
'-x,-y,-z'
'-x+1/4,-y+1/4,z'
'x+1/4,y+1/4,-z'
'x,-y+1/4,-z+1/4'
'-x,y+1/4,z+1/4'
'-x+1/4,y,-z+1/4'
'x+1/4,-y,z+1/4'
'x,y+1/2,z+1/2'
'-x,-y+1/2,-z+1/2'
'-x+1/4,-y+3/4,z+1/2'
'x+1/4,y+3/4,-z+1/2'
'x,-y+3/4,-z+3/4'
'-x,y+3/4,z+3/4'
'-x+1/4,y+1/2,-z+3/4'
'x+1/4,-y+1/2,z+3/4'
'x+1/2,y,z+1/2'
'-x+1/2,-y,-z+1/2'
'-x+3/4,-y+1/4,z+1/2'
'x+3/4,y+1/4,-z+1/2'
'x+1/2,-y+1/4,-z+3/4'
'-x+1/2,y+1/4,z+3/4'
'-x+3/4,y,-z+3/4'
'x+3/4,-y,z+3/4'
'x+1/2,y+1/2,z'
'-x+1/2,-y+1/2,-z'
'-x+3/4,-y+3/4,z'
'x+3/4,y+3/4,-z'
'x+1/2,-y+3/4,-z+1/4'
'-x+1/2,y+3/4,z+1/4'
'-x+3/4,y+1/2,-z+1/4'
'x+3/4,-y+1/2,z+1/4'
loop_
_atom_site_label
_atom_site_fract_x
_atom_site_fract_y
_atom_site_fract_z
_atom_site_occupancy
Li1 0.125 0.125 0.295 1
Cr1 0.125 0.125 0.125 1
Cr2 0.125 0.125 0.461 1
O1 0.117 0.345 0.461 1
O2 0.125 0.344 0.125 1